[1]
Computed, not measured: a geometry-optimized TaOsNO structure at the GGA-PBE level of DFT.

a b c (Å): 5.387 7.313 4.994
angles (deg): 90.00 90.00 90.00
Element x y z (fractional)
1 N 0.839 0.654 0.107
2 Os 0.489 0.424 0.465
3 Os 0.989 0.576 0.465
4 Os 0.011 0.424 0.965
5 N 0.339 0.346 0.107
6 O 0.864 0.015 0.160
7 N 0.161 0.346 0.607
8 O 0.636 0.015 0.660
9 N 0.661 0.654 0.607
10 Ta 0.607 0.184 0.970
11 Ta 0.893 0.184 0.470
12 Os 0.511 0.576 0.965
13 O 0.364 0.985 0.160
14 Ta 0.393 0.816 0.470
15 Ta 0.107 0.816 0.970
16 O 0.136 0.985 0.660

space group = Pca2_1, No. 29


[2]
Computed, not measured: a geometry-optimized TeOsNO structure at the GGA-PBE level of DFT.

a b c (Å): 3.103 5.627 7.139
angles (deg): 90.00 90.00 90.00
Element x y z (fractional)
1 Te 0.000 0.377 0.865
2 N 0.000 0.198 0.591
3 O 0.500 0.123 0.268
4 Os 0.500 0.011 0.522
5 Te 0.000 0.623 0.365
6 Os 0.500 0.989 0.022
7 N 0.000 0.802 0.091
8 O 0.500 0.877 0.768

space group = Pmc2_1, No. 26


[3]
Computed, not measured: a geometry-optimized TeOsNO structure at the GGA-PBE level of DFT.

a b c (Å): 2.872 6.580 7.308
angles (deg): 90.00 90.00 90.00
Element x y z (fractional)
1 O 0.500 0.748 0.527
2 N 0.000 0.531 0.239
3 Te 0.500 0.850 0.000
4 Os 0.000 0.548 0.480
5 Te 0.500 0.150 0.500
6 O 0.500 0.252 0.027
7 Os 0.000 0.452 0.980
8 N 0.000 0.469 0.739

space group = Pmc2_1, No. 26


Number 1: distance to the lowest polymorph of the same formula 0.000 kcal/mol of atoms. Number 2: distance to the lowest polymorph of the same formula 0.388 kcal/mol of atoms. Number 3: distance to the lowest polymorph of the same formula 1.836 kcal/mol of atoms.